Record 1
The following is a SCAN calculation of CuBrCl at its PBEsol-relaxed geometry, from the Alexandria database.

Cell: 3.5398 3.5398 5.9053 Å, 90.00 90.00 120.00°
Positions (direct):
Br  0.0000  0.0000  0.0929
Cu  0.6667  0.3333  0.3474
Cl  0.3333  0.6667  0.5596

Properties
V = 21.360 A^3/atom
ΔE_f (raw) = -0.431 eV/atom
final energy = -43.929 eV per cell
distance to the lowest polymorph of the same formula = 41 meV per atom


Record 2
The following is a SCAN calculation of CuBrCl3 at its PBEsol-relaxed geometry, from the Alexandria database.

Cell: 4.6533 4.6533 4.6533 Å, 90.00 90.00 90.00°
Positions (direct):
Cu  0.0000  0.0000  0.0000
Br  0.5000  0.5000  0.5000
Cl  0.0000  0.5000  0.0000
Cl  0.0000  0.0000  0.5000
Cl  0.5000  0.0000  0.0000

Properties
V = 20.152 A^3/atom
ΔE_f (raw) = -0.025 eV/atom
final energy = -58.718 eV per cell


Record 3
The following is a SCAN calculation of Cu3BrCl at its PBEsol-relaxed geometry, from the Alexandria database.

Cell: 4.6733 4.6733 4.6733 Å, 90.00 90.00 90.00°
Positions (direct):
Cu  0.0000  0.5000  0.0000
Cu  0.0000  0.0000  0.5000
Cu  0.5000  0.0000  0.0000
Br  0.0000  0.0000  0.0000
Cl  0.5000  0.5000  0.5000

Properties
V = 20.412 A^3/atom
ΔE_f (raw) = 0.651 eV/atom
final energy = -69.778 eV per cell
distance to the lowest polymorph of the same formula = 116 meV per atom


Record 4
The following is a SCAN calculation of CuBrCl at its PBEsol-relaxed geometry, from the Alexandria database.

Cell: 3.3321 3.9938 6.4484 Å, 83.81 75.03 65.34°
Positions (direct):
Br  0.9632  0.0000  0.0735
Cu  0.3282  0.0000  0.3435
Cl  0.7085  0.0000  0.5830

Properties
V = 25.114 A^3/atom
ΔE_f (raw) = -0.471 eV/atom
final energy = -44.051 eV per cell
distance to the lowest polymorph of the same formula = 0 meV per atom


Record-wise total magnetic moment values, in μB per formula unit: 1.00; 1.81; 0.00; 0.99